[1]
Material: RbBeNb
Method: DFT, PBE
State: optimized geometry

Structure (CIF):
```
data_RbBeNb
_chemical_formula_sum 'Rb1 Be1 Nb1'
_space_group_name_H-M_alt 'P 1'
_space_group_IT_number 1
_space_group_name_Hall 'P 1'
_cell_length_a 5.237
_cell_length_b 5.237
_cell_length_c 5.237
_cell_angle_alpha 60.00
_cell_angle_beta 60.00
_cell_angle_gamma 60.00
loop_
_atom_site_label
_atom_site_fract_x
_atom_site_fract_y
_atom_site_fract_z
Be1 0.250 0.250 0.250
Nb1 0.750 0.750 0.750
Rb1 0.000 0.000 0.000
```

The value obtained for the energy is -2.244 eV per atom. The space group is F-43m (216). Its calculated density is 3.06 Mg/m³. The value obtained for the polymorph energy (0 for the lowest one) is 678 meV/atom.



[2]
Material: BeNbRe2
Method: DFT, PBE
State: optimized geometry

Structure (CIF):
```
data_BeNbRe2
_chemical_formula_sum 'Be1 Nb1 Re2'
_space_group_name_H-M_alt 'P 1'
_space_group_IT_number 1
_space_group_name_Hall 'P 1'
_cell_length_a 4.343
_cell_length_b 4.343
_cell_length_c 4.343
_cell_angle_alpha 60.00
_cell_angle_beta 60.00
_cell_angle_gamma 60.00
loop_
_atom_site_label
_atom_site_fract_x
_atom_site_fract_y
_atom_site_fract_z
Be1 0.500 0.500 0.500
Nb1 0.250 0.250 0.250
Re1 0.750 0.750 0.750
Re2 0.000 0.000 0.000
```

The value obtained for the energy is -9.555 eV per atom. The space group is F-43m (216). Its calculated density is 13.60 Mg/m³.



[3]
Material: Be4NbRe
Method: DFT, PBE
State: optimized geometry

Structure (CIF):
```
data_Be4NbRe
_chemical_formula_sum 'Be4 Nb1 Re1'
_space_group_name_H-M_alt 'P 1'
_space_group_IT_number 1
_space_group_name_Hall 'P 1'
_cell_length_a 4.484
_cell_length_b 4.484
_cell_length_c 4.484
_cell_angle_alpha 60.00
_cell_angle_beta 60.00
_cell_angle_gamma 60.00
loop_
_atom_site_label
_atom_site_fract_x
_atom_site_fract_y
_atom_site_fract_z
Be1 0.374 0.374 0.878
Be2 0.878 0.374 0.374
Re1 0.000 0.000 0.000
Be3 0.374 0.878 0.374
Be4 0.374 0.374 0.374
Nb1 0.750 0.750 0.750
```

The value obtained for the energy is -6.643 eV per atom. The space group is F-43m (216). Its calculated density is 8.21 Mg/m³.



> What is the energy in the third record?

-6.643 eV per atom



> Look up the calculated density of the third one.

8.21 Mg/m³